(1)
DFT (PBE-GGA) results for a relaxed Hf2ScMo crystal.

a b c (Å): 6.855 6.855 6.855
angles (deg): 90.00 90.00 90.00
Space group Fm-3m (No. 225)
One atom of each set of equivalent atoms:
Hf1 0.250 0.250 0.250 [8 per cell]
Sc1 0.000 0.000 0.000 [4 per cell]
Mo1 0.000 0.000 0.500 [4 per cell]

## Properties
- Magnetization: 0.0 μB per formula unit
- E above lowest polymorph: 0.21 eV per formula unit
- Crystal system: cubic
- Formation energy from the elements: 0.0679 eV/atom
- Volume: 322.2 Å³ per cell


(2)
DFT (PBE-GGA) results for a relaxed ReB2W crystal.

a b c (Å): 5.556 5.556 5.556
angles (deg): 90.00 90.00 90.00
Space group Fm-3m (No. 225)
One atom of each set of equivalent atoms:
Re1 0.000 0.000 0.000 [4 per cell]
B1 0.250 0.250 0.250 [8 per cell]
W1 0.000 0.000 0.500 [4 per cell]

## Properties
- Magnetization: 0.0 μB per formula unit
- E above lowest polymorph: 1.54 eV per formula unit
- Crystal system: cubic
- Formation energy from the elements: 0.3047 eV/atom
- Volume: 171.5 Å³ per cell


(3)
DFT (PBE-GGA) results for a relaxed SrCa3 crystal.

a b c (Å): 3.992 6.890 7.666
angles (deg): 63.44 75.13 89.87
Space group P1 (No. 1)
One atom of each set of equivalent atoms:
Sr1 0.000 0.000 0.000 [1 per cell]
Ca1 0.247 0.582 0.508 [1 per cell]
Ca2 0.500 0.502 0.000 [1 per cell]
Ca3 0.754 0.090 0.493 [1 per cell]

## Properties
- Magnetization: 0.0 μB per formula unit
- E above lowest polymorph: 0.02 eV per formula unit
- Crystal system: triclinic
- Formation energy from the elements: 0.0181 eV/atom
- Volume: 180.7 Å³ per cell


(4)
DFT (PBE-GGA) results for a relaxed BiTe2SN crystal.

a b c (Å): 6.270 6.270 3.251
angles (deg): 90.00 90.00 90.00
Space group P4/mmm (No. 123)
One atom of each set of equivalent atoms:
Bi1 0.000 0.000 0.000 [1 per cell]
Te1 0.000 0.500 0.500 [2 per cell]
S1 0.500 0.500 0.500 [1 per cell]
N1 0.500 0.500 0.000 [1 per cell]

## Properties
- Magnetization: 0.0 μB per formula unit
- E above lowest polymorph: 0.00 eV per formula unit
- Energy relative to the elements, uncorrected: 0.711 eV per atom
- Crystal system: tetragonal
- Volume: 127.8 Å³ per cell